[1]
A plane-wave DFT calculation with GGA-PBE was carried out for a relaxed Y2HgBi crystal.

abc: 7.7490 7.7490 7.7490
angles: 90.00 90.00 90.00
With the nearest neighbours (Å) after each atom.
Space group F-43m (No. 216)
Inequivalent atoms, fractional coordinates:
Y 0.0000 0.0000 0.0000 (multiplicity 4)  4 Hg 3.36, 4 Y 3.36
Y 0.2500 0.2500 0.2500 (multiplicity 4)  4 Bi 3.36, 4 Y 3.36
Hg 0.2500 0.2500 0.7500 (multiplicity 4)  4 Bi 3.36, 4 Y 3.36
Bi 0.0000 0.0000 0.5000 (multiplicity 4)  4 Hg 3.36, 4 Y 3.36

The final energy comes out at -69.7 eV/cell.


[2]
A plane-wave DFT calculation with GGA-PBE was carried out for a relaxed PaGaSi crystal.

abc: 6.3847 6.3847 6.3847
angles: 90.00 90.00 90.00
With the nearest neighbours (Å) after each atom.
Space group F-43m (No. 216)
Inequivalent atoms, fractional coordinates:
Pa 0.0000 0.0000 0.0000 (multiplicity 4)  4 Ga 2.76
Ga 0.2500 0.2500 0.2500 (multiplicity 4)  4 Pa 2.76, 4 Si 2.76
Si 0.0000 0.0000 0.5000 (multiplicity 4)  4 Ga 2.76

The value obtained for the excess energy over the best structure of this formula in the dataset is 0.129 eV per atom.